{"formula": "OsClF8", "functional": "PBE", "state": "relaxed", "density_g_cm3": 5.4, "sg": "P2/c, No. 13", "dft_energy_ev_per_atom": -3.9883, "lattice_angstrom": [[14.0562, 0.0000, 0.0000], [0.0000, 5.3171, 0.0000], [-3.0642, 0.0000, 9.3351]], "species": ["Os", "Os", "Os", "Os", "Os", "Os", "Cl", "Cl", "Cl", "Cl", "Cl", "Cl", "F", "F", "F", "F", "F", "F", "F", "F", "F", "F", "F", "F", "F", "F", "F", "F", "F", "F", "F", "F", "F", "F", "F", "F", "F", "F", "F", "F", "F", "F", "F", "F", "F", "F", "F", "F", "F", "F", "F", "F", "F", "F", "F", "F", "F", "F", "F", "F"], "fractional_positions": [[0.0000, 0.0998, 0.2500], [0.0000, 0.9002, 0.7500], [0.3346, 0.1069, 0.9019], [0.3346, 0.8931, 0.4019], [0.6654, 0.1069, 0.5981], [0.6654, 0.8931, 0.0981], [0.1691, 0.4990, 0.0948], [0.1691, 0.5010, 0.5948], [0.5000, 0.4198, 0.7500], [0.5000, 0.5802, 0.2500], [0.8309, 0.4990, 0.4052], [0.8309, 0.5010, 0.9052], [0.0768, 0.1027, 0.4458], [0.0768, 0.8973, 0.9458], [0.0778, 0.3764, 0.2119], [0.0778, 0.6236, 0.7119], [0.0834, 0.1431, 0.7116], [0.0834, 0.8569, 0.2116], [0.0921, 0.3890, 0.9479], [0.0921, 0.6110, 0.4479], [0.2458, 0.1324, 0.2906], [0.2458, 0.8676, 0.7906], [0.2509, 0.3872, 0.5263], [0.2509, 0.6128, 0.0263], [0.2535, 0.3833, 0.8007], [0.2535, 0.6167, 0.3007], [0.2644, 0.1040, 0.0355], [0.2644, 0.8960, 0.5355], [0.4029, 0.1154, 0.7572], [0.4029, 0.8846, 0.2572], [0.4157, 0.3757, 0.2574], [0.4157, 0.6243, 0.7574], [0.4189, 0.1464, 0.5026], [0.4189, 0.8536, 0.0026], [0.4219, 0.3606, 0.0015], [0.4219, 0.6394, 0.5015], [0.5781, 0.3606, 0.4985], [0.5781, 0.6394, 0.9985], [0.5811, 0.1464, 0.9974], [0.5811, 0.8536, 0.4974], [0.5843, 0.3757, 0.2426], [0.5843, 0.6243, 0.7426], [0.5971, 0.1154, 0.7428], [0.5971, 0.8846, 0.2428], [0.7356, 0.1040, 0.4645], [0.7356, 0.8960, 0.9645], [0.7465, 0.3833, 0.6993], [0.7465, 0.6167, 0.1993], [0.7491, 0.3872, 0.9737], [0.7491, 0.6128, 0.4737], [0.7542, 0.1324, 0.2094], [0.7542, 0.8676, 0.7094], [0.9079, 0.3890, 0.5521], [0.9079, 0.6110, 0.0521], [0.9166, 0.1431, 0.7884], [0.9166, 0.8569, 0.2884], [0.9222, 0.3764, 0.2881], [0.9222, 0.6236, 0.7881], [0.9232, 0.1027, 0.0542], [0.9232, 0.8973, 0.5542]]}